Entry 1:
Material: TbEr2Zr
Method: DFT, PBE
State: relaxed

abc: 5.472 5.472 5.472
angles: 60.00 60.00 60.00
Element x y z (fractional)
Tb 0.000 0.000 0.000
Er 0.750 0.750 0.750
Er 0.250 0.250 0.250
Zr 0.500 0.500 0.500

Fermi-level density of states ... 6.78 states/eV/f.u.
Total magnetic moment ... 0.6360 μB per atom
E_form ... 0.209 eV per atom
Space-group type ... Fm-3m

---

Entry 2:
Material: Tb3Er8Zr
Method: DFT, PBE
State: relaxed

abc: 7.576 7.576 9.255
angles: 114.16 114.16 90.00
Element x y z (fractional)
Er 0.121 0.121 0.761
Er 0.879 0.360 0.239
Er 0.360 0.360 0.239
Zr 0.000 0.000 0.000
Er 0.640 0.640 0.761
Tb 0.750 0.250 0.500
Er 0.640 0.121 0.761
Tb 0.500 0.500 0.000
Er 0.121 0.640 0.761
Er 0.879 0.879 0.239
Tb 0.250 0.750 0.500
Er 0.360 0.879 0.239

Fermi-level density of states ... 13.18 states/eV/f.u.
Total magnetic moment ... 0.0003 μB per atom
E_form ... 0.742 eV per atom
Space-group type ... I4/mmm

---

Entry 3:
Material: Tb2Er12Zr
Method: DFT, PBE
State: relaxed

abc: 6.535 6.535 24.268
angles: 96.66 96.66 115.11
Element x y z (fractional)
Er 0.892 0.892 0.190
Er 0.997 0.997 0.328
Er 0.316 0.816 0.422
Er 0.347 0.847 0.129
Tb 0.042 0.542 0.723
Er 0.844 0.344 0.125
Er 0.497 0.497 0.328
Er 0.503 0.503 0.672
Er 0.108 0.108 0.810
Zr 0.476 0.976 0.000
Er 0.819 0.319 0.423
Er 0.956 0.949 0.937
Er 0.184 0.684 0.578
Er 0.681 0.181 0.577
Er 0.165 0.168 0.556
Tb 0.958 0.458 0.274
Er 0.051 0.044 0.063
Er 0.003 0.003 0.672
Er 0.335 0.332 0.444
Er 0.656 0.156 0.875
Er 0.668 0.665 0.556
Tb 0.458 0.958 0.277
Er 0.832 0.835 0.444
Tb 0.542 0.042 0.726
Er 0.449 0.456 0.937
Er 0.608 0.608 0.810
Er 0.153 0.653 0.871
Er 0.392 0.392 0.190
Zr 0.024 0.524 0.000
Er 0.544 0.551 0.063

Fermi-level density of states ... 24.65 states/eV/f.u.
Total magnetic moment ... 0.0000 μB per atom
E_form ... 0.134 eV per atom
Space-group type ... C2/m

---

Entry 4:
Material: Tb12Er2Zr
Method: DFT, PBE
State: relaxed

abc: 6.474 6.474 23.839
angles: 90.00 90.00 90.00
Element x y z (fractional)
Tb 0.500 0.500 0.796
Tb 0.248 0.748 0.096
Tb 0.252 0.248 0.096
Tb 0.832 0.668 0.436
Tb 0.168 0.668 0.564
Tb 0.000 0.000 0.667
Tb 0.500 0.500 0.667
Er 0.500 0.000 0.267
Zr 0.000 0.500 0.000
Tb 0.832 0.332 0.564
Tb 0.332 0.168 0.564
Tb 0.168 0.332 0.436
Tb 0.752 0.252 0.096
Tb 0.748 0.752 0.096
Tb 0.332 0.832 0.436
Tb 0.000 0.000 0.333
Tb 0.500 0.500 0.333
Tb 0.000 0.000 0.204
Tb 0.668 0.168 0.436
Tb 0.748 0.248 0.904
Er 0.000 0.500 0.733
Er 0.000 0.500 0.267
Tb 0.252 0.752 0.904
Zr 0.500 0.000 0.000
Tb 0.500 0.500 0.204
Tb 0.000 0.000 0.796
Tb 0.752 0.748 0.904
Tb 0.668 0.832 0.564
Tb 0.248 0.252 0.904
Er 0.500 0.000 0.733

Fermi-level density of states ... 21.81 states/eV/f.u.
Total magnetic moment ... 0.0000 μB per atom
E_form ... 0.411 eV per atom
Space-group type ... P4/nbm

---

Entry 5:
Material: Tb2ErZr
Method: DFT, PBE
State: relaxed

abc: 4.846 4.867 4.867
angles: 90.00 90.00 90.00
Element x y z (fractional)
Er 0.500 0.000 0.000
Tb 0.000 0.000 0.500
Zr 0.500 0.500 0.500
Tb 0.000 0.500 0.000

Fermi-level density of states ... 4.74 states/eV/f.u.
Total magnetic moment ... 0.0001 μB per atom
E_form ... 0.092 eV per atom
Space-group type ... P4/mmm

---

Entry 6:
Material: TbEr4Zr
Method: DFT, PBE
State: relaxed

abc: 6.210 8.927 8.300
angles: 113.57 100.12 111.64
Element x y z (fractional)
Er 0.228 0.595 0.768
Er 0.368 0.907 0.625
Zr 0.753 0.003 0.006
Tb 0.657 0.407 0.815
Er 0.632 0.093 0.375
Er 0.040 0.173 0.768
Er 0.243 0.282 0.375
Zr 0.247 0.997 0.994
Er 0.757 0.718 0.625
Er 0.772 0.405 0.232
Tb 0.343 0.593 0.185
Er 0.960 0.827 0.232

Fermi-level density of states ... 9.99 states/eV/f.u.
Total magnetic moment ... 0.0000 μB per atom
E_form ... 0.132 eV per atom
Space-group type ... C2/c

---

Entry 7:
Material: TbEr2Zr
Method: DFT, PBE
State: relaxed

abc: 3.450 3.450 11.295
angles: 81.22 81.22 60.00
Element x y z (fractional)
Er 0.255 0.255 0.236
Zr 0.666 0.666 0.001
Tb 0.500 0.500 0.499
Er 0.078 0.078 0.765

Fermi-level density of states ... 6.62 states/eV/f.u.
Total magnetic moment ... 0.0000 μB per atom
E_form ... 0.066 eV per atom
Space-group type ... R3m

---

Entry 8:
Material: TbEr14Zr
Method: DFT, PBE
State: relaxed

abc: 7.136 7.136 11.037
angles: 90.00 90.00 120.00
Element x y z (fractional)
Er 0.669 0.331 0.244
Er 0.161 0.331 0.755
Er 0.669 0.839 0.245
Er 0.334 0.666 0.500
Er 0.333 0.167 0.500
Er 0.833 0.167 0.500
Er 0.332 0.165 0.000
Zr 0.834 0.166 0.000
Er 0.833 0.667 0.500
Er 0.669 0.331 0.756
Er 0.669 0.839 0.755
Er 0.166 0.834 0.747
Tb 0.333 0.667 0.000
Er 0.161 0.331 0.245
Er 0.835 0.668 0.000
Er 0.166 0.834 0.253

Fermi-level density of states ... 25.06 states/eV/f.u.
Total magnetic moment ... 0.0000 μB per atom
E_form ... 0.015 eV per atom
Space-group type ... Amm2

---

Question: Which of these has the highest Fermi-level density of states?
Answer: TbEr14Zr

---

Question: Look up the Fermi-level density of states of the eighth one.
Answer: 25.06 states/eV/f.u.

---

Question: Which formula does entry 5 have?
Answer: Tb2ErZr